Below is Cr2TeO after structural relaxation, with properties calculated at the PBE+U level.

Computed properties:
Energy relative to the lowest polymorph listed for this composition: 0.707 eV/atom
Calculated total energy: -23.27 eV per cell

Lattice parameters (Å, degrees): 4.599 4.599 4.599 60.00 60.00 60.00
Positions (direct):
Cr 0.250 0.250 0.250
Cr 0.750 0.750 0.750
Te 0.000 0.000 0.000
O 0.500 0.500 0.500